# Ac2SeO6F PBE-GGA optimized geometry
# DOS at the Fermi energy ... 5.796 states/eV/f.u.
# Calculated volume ... 17.9 Å³ per atom
# Raw formation energy ... -205.29 kJ/mol of atoms
# ρ ... 6.02 g cm⁻³
# Electronic total energy ... -64.60 eV for the cell shown
data_Ac2SeO6F
_chemical_formula_sum 'Ac2 Se1 O6 F1'
_symmetry_space_group_name_H-M 'P 1'
_symmetry_Int_Tables_number 1
_cell_length_a 5.615
_cell_length_b 6.178
_cell_length_c 6.475
_cell_angle_alpha 68.71
_cell_angle_beta 65.02
_cell_angle_gamma 64.07
loop_
_symmetry_equiv_pos_as_xyz
'x,y,z'
loop_
_atom_site_label
_atom_site_fract_x
_atom_site_fract_y
_atom_site_fract_z
_atom_site_occupancy
Ac1 0.000 0.000 0.000 1
Ac2 0.451 0.441 0.607 1
Se1 0.636 0.684 0.038 1
O1 0.284 0.734 0.260 1
O2 0.511 0.649 0.846 1
O3 0.531 0.026 0.916 1
O4 0.707 0.734 0.269 1
O5 0.724 0.360 0.184 1
O6 0.986 0.657 0.854 1
F1 0.124 0.255 0.616 1